First-principles (PBE) data for a relaxed AcLaInPb crystal, as listed in Alexandria.

Unit cell a=4.9224 b=4.6038 c=6.6758 alpha=90.00 beta=111.63 gamma=90.00
Closest atoms and distances in Å follow each position.
Sites, in units of the cell vectors:
Ac 0.8606 0.5000 0.7213  3 Pb 3.44-3.70, 4 In 3.45
La 0.1373 0.0000 0.2747  4 Pb 3.44, 3 In 3.49-3.67
In 0.4184 0.0000 0.8369  2 Pb 3.08, 4 Ac 3.45
Pb 0.5836 0.5000 0.1672  2 In 3.08, 4 La 3.44, 1 Ac 3.44

## Properties
Total magnetic moment = 0.445 μB/cell
Space group = Amm2
Energy relative to the elements = -2.1 eV/f.u.